Entry 1:
{"formula": "Li7Cd2Cu", "functional": "PBE-GGA", "state": "optimized geometry", "lattice_angstrom": [[0.0000, 4.7078, 4.7078], [4.7078, 0.0000, 4.7078], [4.7078, 4.7078, 0.0000]], "species": ["Li", "Li", "Li", "Li", "Li", "Li", "Li", "Cd", "Cd", "Cu"], "fractional_positions": [[0.0000, 0.0000, 0.0000], [0.2552, 0.2552, 0.7448], [0.2552, 0.7448, 0.2552], [0.2552, 0.7448, 0.7448], [0.7448, 0.2552, 0.2552], [0.7448, 0.2552, 0.7448], [0.7448, 0.7448, 0.2552], [0.2500, 0.2500, 0.2500], [0.7500, 0.7500, 0.7500], [0.5000, 0.5000, 0.5000]], "de_polymorph_mev_per_atom": 230}

***

Entry 2:
{"formula": "Li2CdCu", "functional": "PBE-GGA", "state": "optimized geometry", "lattice_angstrom": [[3.1715, 0.0000, 0.0000], [0.0000, 3.1715, 0.0000], [0.0000, 0.0000, 6.1657]], "species": ["Li", "Li", "Cd", "Cu"], "fractional_positions": [[0.0000, 0.0000, 0.2200], [0.0000, 0.0000, 0.7800], [0.5000, 0.5000, 0.5000], [0.5000, 0.5000, 0.0000]]}

***

Entry 3:
{"formula": "Li6Cd12Cu", "functional": "PBE-GGA", "state": "optimized geometry", "lattice_angstrom": [[5.1142, 2.9527, 4.1048], [-5.1142, 2.9527, 4.1048], [0.0000, -5.9054, 4.1048]], "species": ["Li", "Li", "Li", "Li", "Li", "Li", "Cd", "Cd", "Cd", "Cd", "Cd", "Cd", "Cd", "Cd", "Cd", "Cd", "Cd", "Cd", "Cu"], "fractional_positions": [[0.2311, 0.7623, 0.3900], [0.2377, 0.6100, 0.7689], [0.3900, 0.2311, 0.7623], [0.6100, 0.7689, 0.2377], [0.7623, 0.3900, 0.2311], [0.7689, 0.2377, 0.6100], [0.0300, 0.3040, 0.9353], [0.0647, 0.9700, 0.6960], [0.1354, 0.3518, 0.4740], [0.3040, 0.9353, 0.0300], [0.3518, 0.4740, 0.1354], [0.4740, 0.1354, 0.3518], [0.5260, 0.8646, 0.6482], [0.6482, 0.5260, 0.8646], [0.6960, 0.0647, 0.9700], [0.8646, 0.6482, 0.5260], [0.9353, 0.0300, 0.3040], [0.9700, 0.6960, 0.0647], [0.5000, 0.5000, 0.5000]]}

***

Entry 4:
{"formula": "Li2CdCu", "functional": "PBE-GGA", "state": "optimized geometry", "lattice_angstrom": [[2.8548, 0.0000, 0.0000], [0.0000, 3.9369, 0.0000], [0.0000, 0.0000, 5.7592]], "species": ["Li", "Li", "Cd", "Cu"], "fractional_positions": [[0.0000, 0.0000, 0.0000], [0.5000, 0.5000, 0.2643], [0.0000, 0.0000, 0.5269], [0.5000, 0.5000, 0.7780]]}

***

Total magnetic moment for the records above, in order: 0.00, 0.00, 0.00, 0.00 μB/cell
ΔH_f (0 K) for the records above, in order: 0.19, -0.09, -0.17, -0.07 eV/atom
Total energy for the records above, in order: -1.7430, -2.3017, -1.5650, -2.2822 eV per atom